[1]
DFT (PBE) results for a relaxed Pm3Sm2Y6Ho crystal.

a = 6.2347 Å, b = 6.2347 Å, c = 11.8688 Å
α = 95.00°, β = 95.00°, γ = 119.97°
With the nearest neighbours (Å) after each atom.
Fractional coordinates of all 12 atoms:
1 Pm 0.1666 0.8334 0.5000  6 Y 3.60, 6 Pm 3.60
2 Pm 0.8334 0.1666 0.5000  6 Y 3.60, 6 Pm 3.60
3 Pm 0.5000 0.5000 0.5000  6 Y 3.60, 6 Pm 3.60
4 Sm 0.3334 0.6666 0.0000  6 Y 3.57-3.58, 3 Sm 3.60, 3 Ho 3.60
5 Sm 0.6666 0.3334 0.0000  6 Y 3.57-3.58, 3 Sm 3.60, 3 Ho 3.60
6 Y 0.9171 0.5841 0.7513  1 Ho 3.57, 2 Sm 3.57-3.58, 6 Y 3.60, 3 Pm 3.60
7 Y 0.7501 0.7501 0.2490  1 Ho 3.57, 2 Sm 3.58, 3 Pm 3.60, 6 Y 3.60
8 Y 0.0829 0.4159 0.2487  1 Ho 3.57, 2 Sm 3.57-3.58, 6 Y 3.60, 3 Pm 3.60
9 Y 0.5841 0.9171 0.7513  1 Ho 3.57, 2 Sm 3.57-3.58, 6 Y 3.60, 3 Pm 3.60
10 Y 0.2499 0.2499 0.7510  1 Ho 3.57, 2 Sm 3.58, 3 Pm 3.60, 6 Y 3.60
11 Y 0.4159 0.0829 0.2487  1 Ho 3.57, 2 Sm 3.57-3.58, 6 Y 3.60, 3 Pm 3.60
12 Ho 0.0000 0.0000 0.0000  6 Y 3.57, 6 Sm 3.60

The calculation puts the total DFT energy (no corrections) at -66.884 eV per formula unit. For the formation energy, the calculation gives 0.323 kcal/mol of atoms.



[2]
DFT (PBE) results for a relaxed CuRhSe crystal.

a = 6.9138 Å, b = 6.6200 Å, c = 2.8687 Å
α = 83.57°, β = 72.08°, γ = 24.35°
With the nearest neighbours (Å) after each atom.
Fractional coordinates of all 3 atoms:
1 Cu 0.9960 0.9960 0.0040  2 Rh 2.56, 2 Se 2.69
2 Rh 0.3332 0.3332 0.6668  2 Se 2.55, 2 Cu 2.56
3 Se 0.6708 0.6708 0.3292  2 Rh 2.55, 2 Cu 2.69

The calculation puts the total DFT energy (no corrections) at -14.008 eV per formula unit. As for the uncorrected formation energy: 0.924 eV/f.u.



[3]
DFT (PBE) results for a relaxed Mn3PS8 crystal.

a = 6.6780 Å, b = 6.6764 Å, c = 7.5565 Å
α = 116.60°, β = 90.00°, γ = 120.01°
With the nearest neighbours (Å) after each atom.
Fractional coordinates of all 12 atoms:
1 Mn 0.5000 0.0000 0.0000  6 S 2.33-2.34
2 Mn 0.5000 0.5000 0.0000  6 S 2.33-2.34
3 Mn 0.0000 0.5000 0.0000  6 S 2.33-2.34
4 P 0.0000 0.0000 0.0000  6 S 2.28-2.29
5 S 0.2641 0.5283 0.7953  3 Mn 2.34
6 S 0.7359 0.4717 0.2047  3 Mn 2.34
7 S 0.2611 0.0305 0.8027  1 P 2.29, 2 Mn 2.33
8 S 0.7694 0.0305 0.8027  1 P 2.29, 2 Mn 2.33
9 S 0.7694 0.5389 0.8027  1 P 2.28, 2 Mn 2.33
10 S 0.2306 0.4611 0.1973  1 P 2.28, 2 Mn 2.33
11 S 0.2306 0.9695 0.1973  1 P 2.29, 2 Mn 2.33
12 S 0.7389 0.9695 0.1973  1 P 2.29, 2 Mn 2.33

The calculation puts the total DFT energy (no corrections) at -71.555 eV per formula unit. As for the uncorrected formation energy: -5.616 eV/f.u.



Among the records above, which one has the lowest total DFT energy (no corrections)?
Mn3PS8



What is the formula in the third record?
Mn3PS8



Among the records above, which one has the lowest total DFT energy (no corrections)?
Mn3PS8



The highest total DFT energy (no corrections) belongs to which entry?
CuRhSe